1.
## Tm2ScTi (GGA-PBE)

Data for an optimized crystal structure of Tm2ScTi.

ΔH_f (0 K) (eV/atom): 0.15
ΔE to the lowest computed polymorph (meV/atom): 0.0

abc: 3.3142 3.3142 9.1213
angles: 90.00 90.00 90.00
Last column: nearest neighbours and their distance in Å.
Positions (direct):
Tm (0.0000, 0.0000, 0.2298)  4 Ti 3.14, 4 Tm 3.31, 4 Sc 3.40
Tm (0.0000, 0.0000, 0.7702)  4 Ti 3.14, 4 Tm 3.31, 4 Sc 3.40
Sc (0.5000, 0.5000, 0.5000)  4 Sc 3.31, 8 Tm 3.40
Ti (0.5000, 0.5000, 0.0000)  8 Tm 3.14, 4 Ti 3.31

=====

2.
## ZrOs (GGA-PBE)

Data for an optimized crystal structure of ZrOs.

ΔH_f (0 K) (eV/atom): 0.12

abc: 3.2461 4.0474 4.0474
angles: 47.75 90.00 90.00
Last column: nearest neighbours and their distance in Å.
Positions (direct):
Zr (0.0000, 0.0000, 0.0000)  6 Os 2.73-2.76
Os (0.5000, 0.6986, 0.6986)  6 Zr 2.73-2.76

=====

3.
## Rb2CaSc (GGA-PBE)

Data for an optimized crystal structure of Rb2CaSc.

ΔH_f (0 K) (eV/atom): 0.72
ΔE to the lowest computed polymorph (meV/atom): 0.0

abc: 6.6648 6.6648 6.6648
angles: 60.00 60.00 60.00
Last column: nearest neighbours and their distance in Å.
Positions (direct):
Rb (0.2500, 0.2500, 0.2500)  4 Ca 4.08, 4 Sc 4.08
Rb (0.7500, 0.7500, 0.7500)  4 Ca 4.08, 4 Sc 4.08
Ca (0.0000, 0.0000, 0.0000)  8 Rb 4.08
Sc (0.5000, 0.5000, 0.5000)  8 Rb 4.08

=====

4.
## NdDy2Er6 (GGA-PBE)

Data for an optimized crystal structure of NdDy2Er6.

ΔH_f (0 K) (eV/atom): 0.07
ΔE to the lowest computed polymorph (meV/atom): 51.9

abc: 14.7703 14.7703 3.4544
angles: 90.01 90.01 21.82
Last column: nearest neighbours and their distance in Å.
Positions (direct):
Nd (0.0000, 0.0000, 0.0000)  2 Nd 3.45, 12 Er 3.67-3.70
Dy (0.3329, 0.3329, 0.9987)  2 Dy 3.45, 12 Er 3.63-3.66
Dy (0.6671, 0.6671, 0.0013)  2 Dy 3.45, 12 Er 3.63-3.66
Er (0.1125, 0.1125, 0.5018)  5 Er 3.20-3.45
Er (0.2229, 0.2229, 0.5005)  5 Er 3.20-3.45
Er (0.4435, 0.4435, 0.4990)  5 Er 3.23-3.45
Er (0.5565, 0.5565, 0.5010)  5 Er 3.23-3.45
Er (0.7771, 0.7771, 0.4995)  5 Er 3.20-3.45
Er (0.8875, 0.8875, 0.4982)  5 Er 3.20-3.45

=====

5.
## SiSn2GeRu (GGA-PBE)

Data for an optimized crystal structure of SiSn2GeRu.

Formation energy without anion corrections (meV per atom): 1135.6

abc: 5.1057 5.1057 4.5289
angles: 90.00 90.00 90.00
Last column: nearest neighbours and their distance in Å.
Positions (direct):
Si (0.0000, 0.0000, 0.0000)  2 Ge 2.26
Sn (0.0000, 0.5000, 0.0000)  2 Si 2.55
Sn (0.5000, 0.0000, 0.0000)  2 Si 2.55
Ge (0.0000, 0.0000, 0.5000)  2 Si 2.26
Ru (0.5000, 0.5000, 0.5000)  8 Sn 3.41, 4 Ge 3.61

=====

6.
## YPt2 (GGA-PBE)

Data for an optimized crystal structure of YPt2.

ΔH_f (0 K) (eV/atom): -1.01

abc: 5.8219 5.8219 5.8219
angles: 137.70 105.73 89.39
Last column: nearest neighbours and their distance in Å.
Positions (direct):
Y (0.3045, 0.0545, 0.2500)  10 Pt 3.04-3.16
Y (0.6955, 0.9455, 0.7500)  10 Pt 3.04-3.16
Pt (0.1148, 0.6540, 0.4608)  3 Pt 2.61-2.63
Pt (0.3068, 0.3460, 0.9608)  3 Pt 2.61-2.63
Pt (0.6932, 0.6540, 0.0392)  3 Pt 2.61-2.63
Pt (0.8852, 0.3460, 0.5392)  3 Pt 2.61-2.63

=====

N(E_F) values, unit states/eV per cell, following the record order: 6.67; 1.15; 8.15; 14.73; 5.79; 3.55.
Energy values, unit eV per atom, following the record order: -5.642; -9.774; -1.843; -4.520; -4.329; -7.191.